Record 1
{"formula": "HfPb2S", "functional": "PBE", "state": "optimized geometry", "lattice": [[8.3180, 0.0000, 0.0000], [0.0000, 8.3180, 0.0000], [0.0000, 0.0000, 5.9437]], "species": ["Hf", "Hf", "Hf", "Hf", "Pb", "Pb", "Pb", "Pb", "Pb", "Pb", "Pb", "Pb", "S", "S", "S", "S"], "fractional_positions": [[0.0000, 0.0000, 0.0000], [0.0000, 0.5000, 0.2500], [0.5000, 0.0000, 0.7500], [0.5000, 0.5000, 0.5000], [0.2454, 0.7500, 0.6250], [0.2500, 0.2454, 0.3750], [0.2500, 0.2546, 0.8750], [0.2546, 0.7500, 0.1250], [0.7454, 0.2500, 0.1250], [0.7500, 0.7454, 0.8750], [0.7500, 0.7546, 0.3750], [0.7546, 0.2500, 0.6250], [0.0000, 0.0000, 0.5000], [0.0000, 0.5000, 0.7500], [0.5000, 0.0000, 0.2500], [0.5000, 0.5000, 0.0000]], "spacegroup": "I-42d (122)", "e_form_raw_ev_per_atom": 0.37}



Record 2
{"formula": "Mg2SbBr", "functional": "PBE", "state": "optimized geometry", "lattice": [[4.7688, 0.0000, 0.0000], [0.0000, 3.7668, 0.0000], [0.0000, 0.0000, 11.2526]], "species": ["Mg", "Mg", "Mg", "Mg", "Sb", "Sb", "Br", "Br"], "fractional_positions": [[0.0000, 0.0000, 0.0000], [0.0000, 0.5000, 0.5000], [0.5000, 0.0000, 0.2343], [0.5000, 0.5000, 0.7343], [0.0000, 0.0000, 0.7212], [0.0000, 0.5000, 0.2212], [0.5000, 0.0000, 0.4667], [0.5000, 0.5000, 0.9667]], "de_polymorph_mev_per_atom": 125.8, "spacegroup": "Amm2 (38)", "e_form_raw_ev_per_atom": -0.51}



Record 3
{"formula": "Gd2AsP", "functional": "PBE", "state": "optimized geometry", "lattice": [[4.1088, 0.0000, 0.0000], [-2.0544, 3.5583, 0.0000], [0.0000, 0.0000, 20.1497]], "species": ["Gd", "Gd", "Gd", "Gd", "Gd", "Gd", "As", "As", "As", "P", "P", "P"], "fractional_positions": [[0.0000, 0.0000, 0.2477], [0.0000, 0.0000, 0.7523], [0.3333, 0.6667, 0.4190], [0.3333, 0.6667, 0.9143], [0.6667, 0.3333, 0.0857], [0.6667, 0.3333, 0.5810], [0.0000, 0.0000, 0.0000], [0.3333, 0.6667, 0.6667], [0.6667, 0.3333, 0.3333], [0.0000, 0.0000, 0.5000], [0.3333, 0.6667, 0.1667], [0.6667, 0.3333, 0.8333]], "spacegroup": "R-3m (166)"}



Record 4
{"formula": "YCuBiPd", "functional": "PBE", "state": "optimized geometry", "lattice": [[6.9131, 0.0000, 0.0000], [0.0000, 6.9131, 0.0000], [0.0000, 0.0000, 6.9131]], "species": ["Y", "Y", "Y", "Y", "Cu", "Cu", "Cu", "Cu", "Bi", "Bi", "Bi", "Bi", "Pd", "Pd", "Pd", "Pd"], "fractional_positions": [[0.0000, 0.0000, 0.0000], [0.0000, 0.5000, 0.5000], [0.5000, 0.0000, 0.5000], [0.5000, 0.5000, 0.0000], [0.2500, 0.2500, 0.2500], [0.2500, 0.7500, 0.7500], [0.7500, 0.2500, 0.7500], [0.7500, 0.7500, 0.2500], [0.0000, 0.0000, 0.5000], [0.0000, 0.5000, 0.0000], [0.5000, 0.0000, 0.0000], [0.5000, 0.5000, 0.5000], [0.2500, 0.2500, 0.7500], [0.2500, 0.7500, 0.2500], [0.7500, 0.2500, 0.2500], [0.7500, 0.7500, 0.7500]], "spacegroup": "F-43m (216)"}



Record 5
{"formula": "PtPb3W", "functional": "PBE", "state": "optimized geometry", "lattice": [[5.3531, 0.0000, 0.0000], [0.0000, 5.3531, 0.0000], [0.0000, 0.0000, 5.3531]], "species": ["Pt", "Pb", "Pb", "Pb", "W"], "fractional_positions": [[0.0000, 0.0000, 0.0000], [0.0000, 0.5000, 0.5000], [0.5000, 0.0000, 0.5000], [0.5000, 0.5000, 0.0000], [0.5000, 0.5000, 0.5000]], "de_polymorph_mev_per_atom": 0.0, "spacegroup": "Pm-3m (221)"}



Record 6
{"formula": "LiCo2BAs", "functional": "PBE", "state": "optimized geometry", "lattice": [[5.0005, 0.0000, 0.0000], [0.0000, 2.8759, 0.0000], [0.0000, 0.0000, 7.8873]], "species": ["Li", "Li", "Co", "Co", "Co", "Co", "B", "B", "As", "As"], "fractional_positions": [[0.0000, 0.0000, 0.0000], [0.0000, 0.5000, 0.5000], [0.2575, 0.0000, 0.7378], [0.2575, 0.5000, 0.2378], [0.7425, 0.0000, 0.7378], [0.7425, 0.5000, 0.2378], [0.0000, 0.0000, 0.2603], [0.0000, 0.5000, 0.7603], [0.5000, 0.0000, 0.4506], [0.5000, 0.5000, 0.9506]], "de_polymorph_mev_per_atom": 144.5, "spacegroup": "Amm2 (38)"}



Record 7
{"formula": "Sr2Al5Pd4", "functional": "PBE", "state": "optimized geometry", "lattice": [[18.2392, 0.0000, 0.0000], [0.0000, 4.3325, 0.0000], [0.0000, 0.0000, 11.1902]], "species": ["Sr", "Sr", "Sr", "Sr", "Sr", "Sr", "Sr", "Sr", "Al", "Al", "Al", "Al", "Al", "Al", "Al", "Al", "Al", "Al", "Al", "Al", "Al", "Al", "Al", "Al", "Al", "Al", "Al", "Al", "Pd", "Pd", "Pd", "Pd", "Pd", "Pd", "Pd", "Pd", "Pd", "Pd", "Pd", "Pd", "Pd", "Pd", "Pd", "Pd"], "fractional_positions": [[0.0078, 0.2500, 0.2399], [0.1945, 0.7500, 0.1624], [0.3055, 0.2500, 0.6624], [0.4922, 0.7500, 0.7399], [0.5078, 0.2500, 0.2601], [0.6945, 0.7500, 0.3376], [0.8055, 0.2500, 0.8376], [0.9922, 0.7500, 0.7601], [0.0471, 0.2500, 0.5433], [0.1020, 0.2500, 0.9524], [0.1615, 0.7500, 0.6063], [0.1725, 0.7500, 0.8558], [0.1762, 0.2500, 0.4222], [0.3238, 0.7500, 0.9222], [0.3275, 0.2500, 0.3558], [0.3385, 0.2500, 0.1063], [0.3980, 0.7500, 0.4524], [0.4529, 0.7500, 0.0433], [0.5471, 0.2500, 0.9567], [0.6020, 0.2500, 0.5476], [0.6615, 0.7500, 0.8937], [0.6725, 0.7500, 0.6442], [0.6762, 0.2500, 0.0778], [0.8238, 0.7500, 0.5778], [0.8275, 0.2500, 0.1442], [0.8385, 0.2500, 0.3937], [0.8980, 0.7500, 0.0476], [0.9529, 0.7500, 0.4567], [0.0490, 0.7500, 0.0141], [0.0906, 0.7500, 0.4160], [0.1358, 0.2500, 0.7245], [0.2450, 0.2500, 0.9325], [0.2550, 0.7500, 0.4325], [0.3642, 0.7500, 0.2245], [0.4094, 0.2500, 0.9160], [0.4510, 0.2500, 0.5141], [0.5490, 0.7500, 0.4859], [0.5906, 0.7500, 0.0840], [0.6358, 0.2500, 0.7755], [0.7450, 0.2500, 0.5675], [0.7550, 0.7500, 0.0675], [0.8642, 0.7500, 0.2755], [0.9094, 0.2500, 0.5840], [0.9510, 0.2500, 0.9859]], "spacegroup": "Pnma (62)"}



Record 8
{"formula": "LiTmHgPb", "functional": "PBE", "state": "optimized geometry", "lattice": [[7.2477, 0.0000, 0.0000], [0.0000, 7.2477, 0.0000], [0.0000, 0.0000, 7.2477]], "species": ["Li", "Li", "Li", "Li", "Tm", "Tm", "Tm", "Tm", "Hg", "Hg", "Hg", "Hg", "Pb", "Pb", "Pb", "Pb"], "fractional_positions": [[0.0000, 0.0000, 0.0000], [0.0000, 0.5000, 0.5000], [0.5000, 0.0000, 0.5000], [0.5000, 0.5000, 0.0000], [0.0000, 0.0000, 0.5000], [0.0000, 0.5000, 0.0000], [0.5000, 0.0000, 0.0000], [0.5000, 0.5000, 0.5000], [0.2500, 0.2500, 0.2500], [0.2500, 0.7500, 0.7500], [0.7500, 0.2500, 0.7500], [0.7500, 0.7500, 0.2500], [0.2500, 0.2500, 0.7500], [0.2500, 0.7500, 0.2500], [0.7500, 0.2500, 0.2500], [0.7500, 0.7500, 0.7500]], "spacegroup": "F-43m (216)"}



Final energy list, top to bottom, in eV/cell: -80.051, -22.037, -133.428, -86.014, -24.790, -56.360, -203.913, -48.290